This record from Alexandria describes Dy5Ga2Bi after structural relaxation. The functional is PBE-GGA.

## Properties
DOS at the Fermi energy   0.830 states/eV per atom
Energy of formation   -447 kJ/mol of formula units
E   -4.697 eV/atom

abc: 8.192 8.192 8.663
angles: 118.22 118.22 90.00
Element x y z (fractional)
Dy  0.511  0.707  0.718
Dy  0.793  0.989  0.282
Dy  0.000  0.000  0.000
Dy  0.500  0.500  0.000
Dy  0.207  0.011  0.718
Dy  0.707  0.207  0.718
Dy  0.011  0.511  0.718
Dy  0.293  0.793  0.282
Dy  0.989  0.489  0.282
Dy  0.489  0.293  0.282
Ga  0.149  0.351  0.000
Ga  0.649  0.149  0.000
Ga  0.351  0.851  0.000
Ga  0.851  0.649  0.000
Bi  0.750  0.750  0.500
Bi  0.250  0.250  0.500